(1)
VASP calculation (PBE-GGA) on an optimized crystal structure of PmTm2PuSe4.

Its formation energy from raw total energies is -1699 meV/atom. The electronic total energy is -6.944 eV per atom.

Structure (POSCAR):
```
PmTm2PuSe4
1.0
7.0749 0.0000 0.0000
0.0000 4.0601 0.0000
-2.3208 0.0000 6.7506
Pm Tm Pu Se
1 2 1 4
Direct
0.0000 0.0000 0.0000
0.0000 0.5000 0.5000
0.5000 0.0000 0.5000
0.5000 0.5000 0.0000
0.2478 0.0000 0.7375
0.2568 0.5000 0.2643
0.7432 0.5000 0.7357
0.7522 0.0000 0.2625
```

(2)
VASP calculation (PBE-GGA) on an optimized crystal structure of ZnCl3.

Its formation energy from raw total energies is -473 meV/atom. The electronic total energy is -2.176 eV per atom.

Structure (POSCAR):
```
ZnCl3
1.0
-3.5026 3.5026 4.6271
3.5026 -3.5026 4.6271
3.5026 3.5026 -4.6271
Zn Cl
2 6
Direct
0.0000 0.0000 0.0000
0.7500 0.2500 0.5000
0.0126 0.6250 0.8876
0.2500 0.7500 0.5000
0.3750 0.2626 0.3876
0.5000 0.5000 0.0000
0.7374 0.1250 0.1124
0.8750 0.9874 0.6124
```

(3)
VASP calculation (PBE-GGA) on an optimized crystal structure of Sm6ErTm6.

Its formation energy is 0.22 eV/atom. The electronic total energy is -4.370 eV per atom.

Structure (POSCAR):
```
Sm6ErTm6
1.0
6.5577 0.0000 0.0000
0.0000 11.0246 0.0000
-2.7793 0.0000 5.9423
Sm Er Tm
6 1 6
Direct
0.0000 0.1731 0.0000
0.0000 0.8269 0.0000
0.2635 0.0000 0.7372
0.3554 0.5000 0.6409
0.6446 0.5000 0.3591
0.7365 0.0000 0.2628
0.0000 0.5000 0.0000
0.0000 0.2750 0.5000
0.0000 0.7250 0.5000
0.5000 0.1986 0.5000
0.5000 0.2761 0.0000
0.5000 0.7239 0.0000
0.5000 0.8014 0.5000
```

(4)
VASP calculation (PBE-GGA) on an optimized crystal structure of ScTa2Mo.

The value obtained for the relative energy among the computed polymorphs is 78 meV per atom. Its formation energy is 0.13 eV/atom. The electronic total energy is -10.083 eV per atom.

Structure (POSCAR):
```
ScTa2Mo
1.0
0.0000 3.3084 3.3084
3.3084 0.0000 3.3084
3.3084 3.3084 0.0000
Sc Ta Mo
1 2 1
Direct
0.0000 0.0000 0.0000
0.2500 0.2500 0.2500
0.7500 0.7500 0.7500
0.5000 0.5000 0.5000
```

(5)
VASP calculation (PBE-GGA) on an optimized crystal structure of Tl2InAu.

The value obtained for the relative energy among the computed polymorphs is 6 meV per atom. Its formation energy is -0.04 eV/atom. The electronic total energy is -2.728 eV per atom.

Structure (POSCAR):
```
Tl2InAu
1.0
1.8786 1.0846 9.1594
-1.8786 1.0846 9.1594
0.0000 -2.1692 9.1594
Tl In Au
2 1 1
Direct
0.0000 0.0000 0.0000
0.2348 0.2348 0.2348
0.4744 0.4744 0.4744
0.7419 0.7419 0.7419
```

(6)
VASP calculation (PBE-GGA) on an optimized crystal structure of TbCd2Sn2.

Its formation energy is -0.37 eV/atom. The electronic total energy is -3.261 eV per atom.

Structure (POSCAR):
```
TbCd2Sn2
1.0
2.2173 -12.3087 0.0000
2.2173 12.3087 0.0000
0.0000 0.0000 4.4704
Tb Cd Sn
2 4 4
Direct
0.1502 0.8498 0.7500
0.8498 0.1502 0.2500
0.0434 0.9566 0.2500
0.4546 0.5454 0.2500
0.5454 0.4546 0.7500
0.9566 0.0434 0.7500
0.2497 0.7503 0.2500
0.3669 0.6331 0.7500
0.6331 0.3669 0.2500
0.7503 0.2497 0.7500
```

(7)
VASP calculation (PBE-GGA) on an optimized crystal structure of Re4SiRu.

Its formation energy from raw total energies is 723 meV/atom. The electronic total energy is -10.025 eV per atom.

Structure (POSCAR):
```
Re4SiRu
1.0
0.0000 3.6212 3.6212
3.6212 0.0000 3.6212
3.6212 3.6212 0.0000
Re Si Ru
4 1 1
Direct
0.1253 0.1253 0.1253
0.1253 0.1253 0.6241
0.1253 0.6241 0.1253
0.6241 0.1253 0.1253
0.5000 0.5000 0.5000
0.7500 0.7500 0.7500
```

(8)
VASP calculation (PBE-GGA) on an optimized crystal structure of Pm2ZnGe4.

Its formation energy is -0.43 eV/atom. The electronic total energy is -4.608 eV per atom.

Structure (POSCAR):
```
Pm2ZnGe4
1.0
0.0000 4.2401 4.4803
4.2351 0.0000 4.4803
4.2351 4.2401 0.0000
Pm Zn Ge
2 1 4
Direct
0.0000 0.0000 0.5000
0.5000 0.5000 0.0000
0.4046 0.4046 0.5954
0.5111 0.9794 0.0206
0.5220 0.9710 0.4780
0.9710 0.5220 0.0290
0.9794 0.5111 0.4889
```

(9)
VASP calculation (PBE-GGA) on an optimized crystal structure of ZrIr2Ru.

The value obtained for the relative energy among the computed polymorphs is 216 meV per atom. Its formation energy is -0.31 eV/atom. The electronic total energy is -9.201 eV per atom.

Structure (POSCAR):
```
ZrIr2Ru
1.0
4.6891 -1.4358 0.0000
4.6891 1.4358 0.0000
-0.8797 0.0000 4.7182
Zr Ir Ru
1 2 1
Direct
0.0000 0.0000 0.0000
0.2448 0.2448 0.7334
0.7552 0.7552 0.2666
0.5000 0.5000 0.5000
```

(10)
VASP calculation (PBE-GGA) on an optimized crystal structure of Ce6Ir2PtBr3.

Its formation energy from raw total energies is -1086 meV/atom. The electronic total energy is -6.451 eV per atom.

Structure (POSCAR):
```
Ce6Ir2PtBr3
1.0
3.5861 -6.2110 0.0000
3.5861 6.2110 0.0000
-2.3906 0.0000 7.6202
Ce Ir Pt Br
6 2 1 3
Direct
0.0929 0.4334 0.8002
0.2260 0.2260 0.1994
0.4334 0.0929 0.8002
0.5666 0.9071 0.1998
0.7740 0.7740 0.8006
0.9071 0.5666 0.1998
0.1667 0.8333 0.0000
0.8333 0.1667 0.0000
0.5000 0.5000 0.0000
0.0000 0.0000 0.5000
0.3339 0.6661 0.5000
0.6661 0.3339 0.5000
```

(11)
VASP calculation (PBE-GGA) on an optimized crystal structure of LaTb12Sc6.

The value obtained for the relative energy among the computed polymorphs is 166 meV per atom. Its formation energy is 0.41 eV/atom. The electronic total energy is -4.774 eV per atom.

Structure (POSCAR):
```
LaTb12Sc6
1.0
7.2686 4.1965 3.3524
-7.2686 4.1965 3.3524
0.0000 -8.3931 3.3524
La Tb Sc
1 12 6
Direct
0.0000 0.0000 0.0000
0.1129 0.5000 0.8871
0.1129 0.8871 0.5000
0.1571 0.3844 0.3844
0.3844 0.1571 0.3844
0.3844 0.3844 0.1571
0.5000 0.1129 0.8871
0.5000 0.8871 0.1129
0.6156 0.6156 0.8429
0.6156 0.8429 0.6156
0.8429 0.6156 0.6156
0.8871 0.1129 0.5000
0.8871 0.5000 0.1129
0.2761 0.6958 0.6958
0.3042 0.3042 0.7239
0.3042 0.7239 0.3042
0.6958 0.2761 0.6958
0.6958 0.6958 0.2761
0.7239 0.3042 0.3042
```

Q: Which value of electronic total energy does entry 3 give?
A: -4.370 eV per atom